1.
Sc2CdFeC: relaxed, GGA-PBE.

Cell lengths 4.641, 4.641, 3.685 Å; angles 90.00, 90.00, 90.00 degrees
Fractional coordinates of all 5 atoms:
Sc 0.000 0.500 0.000
Sc 0.500 0.000 0.000
Cd 0.000 0.000 0.500
Fe 0.500 0.500 0.500
C 0.500 0.500 0.000

Values from the calculation:
Total moment: 0.006 Bohr magnetons per cell
VASP energy: -33.0 eV/cell

2.
Ta4CdFeC2: relaxed, GGA-PBE.

Cell lengths 3.101, 3.101, 13.954 Å; angles 90.00, 90.00, 120.00 degrees
Fractional coordinates of all 8 atoms:
Ta 0.000 0.000 0.141
Ta 0.000 0.000 0.859
Ta 0.333 0.667 0.321
Ta 0.333 0.667 0.679
Cd 0.000 0.000 0.500
Fe 0.333 0.667 0.000
C 0.667 0.333 0.233
C 0.667 0.333 0.767

Values from the calculation:
Total moment: 1.334 Bohr magnetons per cell
VASP energy: -77.2 eV/cell

3.
Zr4CdFeC2: relaxed, GGA-PBE.

Cell lengths 3.310, 3.310, 14.411 Å; angles 90.00, 90.00, 120.00 degrees
Fractional coordinates of all 8 atoms:
Zr 0.000 0.000 0.138
Zr 0.000 0.000 0.862
Zr 0.333 0.667 0.319
Zr 0.333 0.667 0.681
Cd 0.000 0.000 0.500
Fe 0.333 0.667 0.000
C 0.667 0.333 0.234
C 0.667 0.333 0.766

Values from the calculation:
Total moment: 1.641 Bohr magnetons per cell
VASP energy: -65.0 eV/cell

4.
Hf4CdGaC2: relaxed, GGA-PBE.

Cell lengths 3.288, 3.288, 14.579 Å; angles 90.00, 90.00, 120.00 degrees
Fractional coordinates of all 8 atoms:
Hf 0.000 0.000 0.156
Hf 0.000 0.000 0.844
Hf 0.333 0.667 0.326
Hf 0.333 0.667 0.674
Cd 0.000 0.000 0.500
Ga 0.333 0.667 0.000
C 0.667 0.333 0.241
C 0.667 0.333 0.759

Values from the calculation:
Total moment: 0.006 Bohr magnetons per cell
VASP energy: -67.5 eV/cell

5.
Lu4CdGaC2: relaxed, GGA-PBE.

Cell lengths 3.492, 3.492, 15.497 Å; angles 90.00, 90.00, 120.00 degrees
Fractional coordinates of all 8 atoms:
Lu 0.000 0.000 0.154
Lu 0.000 0.000 0.846
Lu 0.667 0.333 0.324
Lu 0.667 0.333 0.676
Cd 0.000 0.000 0.500
Ga 0.667 0.333 0.000
C 0.333 0.667 0.243
C 0.333 0.667 0.757

Values from the calculation:
Total moment: 0.636 Bohr magnetons per cell
VASP energy: -43.7 eV/cell

6.
CdGaMo4C2: relaxed, GGA-PBE.

Cell lengths 3.074, 3.074, 13.746 Å; angles 90.00, 90.00, 120.00 degrees
Fractional coordinates of all 8 atoms:
Cd 0.000 0.000 0.000
Ga 0.333 0.667 0.500
Mo 0.000 0.000 0.347
Mo 0.000 0.000 0.653
Mo 0.333 0.667 0.178
Mo 0.333 0.667 0.822
C 0.667 0.333 0.260
C 0.667 0.333 0.740

Values from the calculation:
Total moment: 0.001 Bohr magnetons per cell
VASP energy: -66.0 eV/cell

7.
Nb4CdGaC2: relaxed, GGA-PBE.

Cell lengths 3.176, 3.176, 14.084 Å; angles 90.00, 90.00, 120.00 degrees
Fractional coordinates of all 8 atoms:
Nb 0.000 0.000 0.155
Nb 0.000 0.000 0.845
Nb 0.333 0.667 0.325
Nb 0.333 0.667 0.675
Cd 0.000 0.000 0.500
Ga 0.333 0.667 0.000
C 0.667 0.333 0.242
C 0.667 0.333 0.758

Values from the calculation:
Total moment: 0.006 Bohr magnetons per cell
VASP energy: -66.1 eV/cell

8.
Sc4CdGaC2: relaxed, GGA-PBE.

Cell lengths 3.322, 3.322, 15.024 Å; angles 90.00, 90.00, 120.00 degrees
Fractional coordinates of all 8 atoms:
Sc 0.000 0.000 0.156
Sc 0.000 0.000 0.844
Sc 0.333 0.667 0.321
Sc 0.333 0.667 0.679
Cd 0.000 0.000 0.500
Ga 0.333 0.667 0.000
C 0.667 0.333 0.242
C 0.667 0.333 0.758

Values from the calculation:
Total moment: 0.553 Bohr magnetons per cell
VASP energy: -51.6 eV/cell

9.
Tm4CdGaC2: relaxed, GGA-PBE.

Cell lengths 3.530, 3.530, 15.633 Å; angles 90.00, 90.00, 120.00 degrees
Fractional coordinates of all 8 atoms:
Tm 0.000 0.000 0.154
Tm 0.000 0.000 0.846
Tm 0.333 0.667 0.324
Tm 0.333 0.667 0.676
Cd 0.000 0.000 0.500
Ga 0.333 0.667 0.000
C 0.667 0.333 0.244
C 0.667 0.333 0.756

Values from the calculation:
Total moment: 0.668 Bohr magnetons per cell
VASP energy: -43.3 eV/cell

10.
Zr4CdGaC2: relaxed, GGA-PBE.

Cell lengths 3.335, 3.335, 14.835 Å; angles 90.00, 90.00, 120.00 degrees
Fractional coordinates of all 8 atoms:
Zr 0.000 0.000 0.156
Zr 0.000 0.000 0.844
Zr 0.667 0.333 0.326
Zr 0.667 0.333 0.674
Cd 0.000 0.000 0.500
Ga 0.667 0.333 0.000
C 0.333 0.667 0.242
C 0.333 0.667 0.758

Values from the calculation:
Total moment: 0.158 Bohr magnetons per cell
VASP energy: -61.6 eV/cell

11.
CdGeMo4C2: relaxed, GGA-PBE.

Cell lengths 3.109, 3.109, 13.451 Å; angles 90.00, 90.00, 120.00 degrees
Fractional coordinates of all 8 atoms:
Cd 0.000 0.000 0.000
Ge 0.333 0.667 0.500
Mo 0.000 0.000 0.352
Mo 0.000 0.000 0.648
Mo 0.333 0.667 0.182
Mo 0.333 0.667 0.818
C 0.667 0.333 0.263
C 0.667 0.333 0.737

Values from the calculation:
Total moment: 0.008 Bohr magnetons per cell
VASP energy: -67.5 eV/cell

12.
Nb4CdGeC2: relaxed, GGA-PBE.

Cell lengths 3.218, 3.218, 13.704 Å; angles 90.00, 90.00, 120.00 degrees
Fractional coordinates of all 8 atoms:
Nb 0.000 0.000 0.149
Nb 0.000 0.000 0.851
Nb 0.333 0.667 0.321
Nb 0.333 0.667 0.679
Cd 0.000 0.000 0.500
Ge 0.333 0.667 0.000
C 0.667 0.333 0.238
C 0.667 0.333 0.762

Values from the calculation:
Total moment: 0.005 Bohr magnetons per cell
VASP energy: -67.7 eV/cell